# 1
A geometry-optimized LiZnTe2O6 structure. Source: the Alexandria database, functional GGA-PBE.

Results
Calculated total energy (eV per atom): -5.02
ΔE_f (raw) (meV per atom): -1101
DOS at the Fermi energy (states/eV per atom): 0.522

Cell: 5.3202 7.1992 7.1992 Å, 100.26 80.47 80.47°
With the nearest neighbours (Å) after each atom.
Fractional positions:
O (0.3800, 0.2055, 0.0495)  1 Li 1.95, 1 Te 1.99, 1 Zn 2.02
O (0.9849, 0.3017, 0.5131)  1 Te 1.94
O (0.1200, 0.9505, 0.7945)  1 Li 1.95, 1 Te 1.99, 1 Zn 2.02
O (0.6203, 0.0735, 0.6511)  1 Te 1.91, 1 Li 2.06, 1 Zn 2.10
O (0.0151, 0.6983, 0.4869)  1 Te 1.94
O (0.1203, 0.6511, 0.0735)  1 Te 1.91, 1 Li 2.06, 1 Zn 2.10
O (0.3797, 0.9265, 0.3489)  1 Te 1.91, 1 Li 2.06, 1 Zn 2.10
O (0.8797, 0.3489, 0.9265)  1 Te 1.91, 1 Li 2.06, 1 Zn 2.10
O (0.6200, 0.7945, 0.9505)  1 Li 1.95, 1 Te 1.99, 1 Zn 2.02
O (0.5151, 0.4869, 0.6983)  1 Te 1.94
O (0.8800, 0.0495, 0.2055)  1 Li 1.95, 1 Te 1.99, 1 Zn 2.02
O (0.4849, 0.5131, 0.3017)  1 Te 1.94
Te (0.3248, 0.7835, 0.5471)  3 O 1.91-1.99
Te (0.1752, 0.4529, 0.2165)  3 O 1.91-1.99
Te (0.6752, 0.2165, 0.4529)  3 O 1.91-1.99
Te (0.8248, 0.5471, 0.7835)  3 O 1.91-1.99
Li (0.2500, 0.1902, 0.8098)  4 O 1.95-2.06
Li (0.7500, 0.8098, 0.1902)  4 O 1.95-2.06
Zn (0.7500, 0.0877, 0.9123)  4 O 2.02-2.10
Zn (0.2500, 0.9123, 0.0877)  4 O 2.02-2.10


# 2
A geometry-optimized Pr3Sm6Mg structure. Source: the Alexandria database, functional GGA-PBE.

Results
Energy above the most stable polymorph in this dataset (eV/atom): 0.0751
Calculated total energy (eV per atom): -4.33
Energy relative to the elements (eV per atom): 0.094
DOS at the Fermi energy (states/eV per atom): 1.272

Cell: 9.4869 10.2051 10.2051 Å, 136.29 90.00 90.00°
With the nearest neighbours (Å) after each atom.
Fractional positions:
Sm (0.0816, 0.3062, 0.1752)  5 Sm 3.31-3.66, 1 Mg 3.36, 3 Pr 3.42-3.68
Sm (0.6143, 0.2904, 0.7096)  6 Sm 3.26-3.40
Sm (0.3201, 0.5578, 0.9476)  4 Sm 3.26-3.49, 2 Mg 3.28-3.33, 2 Pr 3.50-3.60
Sm (0.2761, 0.9568, 0.0432)  6 Sm 3.31-3.46
Sm (0.5816, 0.1752, 0.3062)  5 Sm 3.31-3.66, 1 Mg 3.36, 3 Pr 3.42-3.68
Sm (0.1143, 0.7096, 0.2904)  6 Sm 3.26-3.40
Sm (0.0816, 0.8248, 0.6938)  5 Sm 3.31-3.66, 1 Mg 3.36, 3 Pr 3.42-3.68
Sm (0.5816, 0.6938, 0.8248)  5 Sm 3.31-3.66, 1 Mg 3.36, 3 Pr 3.42-3.68
Sm (0.3201, 0.0524, 0.4422)  4 Sm 3.26-3.49, 2 Mg 3.28-3.33, 2 Pr 3.50-3.60
Sm (0.8201, 0.4422, 0.0524)  4 Sm 3.26-3.49, 2 Mg 3.28-3.33, 2 Pr 3.50-3.60
Sm (0.7761, 0.0432, 0.9568)  6 Sm 3.31-3.46
Sm (0.8201, 0.9476, 0.5578)  4 Sm 3.26-3.49, 2 Mg 3.28-3.33, 2 Pr 3.50-3.60
Pr (0.9502, 0.1240, 0.3768)  7 Sm 3.60-4.03, 4 Pr 3.79-4.03, 1 Mg 3.87
Pr (0.7835, 0.5417, 0.4583)  8 Sm 3.42-3.80
Pr (0.4502, 0.8760, 0.6232)  7 Sm 3.60-4.03, 4 Pr 3.79-4.03, 1 Mg 3.87
Pr (0.9502, 0.6232, 0.8760)  7 Sm 3.60-4.03, 4 Pr 3.79-4.03, 1 Mg 3.87
Pr (0.4502, 0.3768, 0.1240)  7 Sm 3.60-4.03, 4 Pr 3.79-4.03, 1 Mg 3.87
Pr (0.2835, 0.4583, 0.5417)  8 Sm 3.42-3.80
Mg (0.6076, 0.7864, 0.2136)  6 Sm 3.28-3.36
Mg (0.1076, 0.2136, 0.7864)  6 Sm 3.28-3.36


# 3
A geometry-optimized Sr4Mg5Pb6 structure. Source: the Alexandria database, functional GGA-PBE.

Results
Calculated total energy (eV per atom): -2.79
Energy relative to the elements (eV per atom): -0.326
DOS at the Fermi energy (states/eV per atom): 0.658

Cell: 4.9392 11.3175 17.5786 Å, 90.00 90.00 102.60°
With the nearest neighbours (Å) after each atom.
Fractional positions:
Pb (0.2196, 0.4393, 0.4814)  4 Mg 2.93-3.01
Pb (0.4261, 0.8521, 0.4127)  1 Pb 3.07, 1 Mg 3.20
Pb (0.7677, 0.5354, 0.2640)  4 Mg 2.93-3.01
Pb (0.5739, 0.1479, 0.9127)  1 Pb 3.07, 1 Mg 3.20
Pb (0.4288, 0.8576, 0.1329)  5 Mg 3.01-3.08
Pb (0.5712, 0.1424, 0.6329)  5 Mg 3.01-3.08
Pb (0.5578, 0.1156, 0.3568)  2 Mg 3.06-3.13, 1 Pb 3.07
Pb (0.4422, 0.8844, 0.8568)  2 Mg 3.06-3.13, 1 Pb 3.07
Pb (0.7804, 0.5607, 0.9814)  4 Mg 2.93-3.01
Pb (0.8891, 0.7782, 0.6141)  4 Mg 2.94-3.13
Pb (0.1109, 0.2218, 0.1141)  4 Mg 2.94-3.13
Pb (0.2323, 0.4646, 0.7640)  4 Mg 2.93-3.01
Mg (0.6976, 0.3952, 0.1174)  4 Pb 3.01-3.13, 2 Mg 3.22-3.27
Mg (0.4398, 0.8796, 0.6789)  4 Pb 2.94-3.13, 1 Mg 3.22
Mg (0.6487, 0.2974, 0.4885)  4 Pb 2.93-3.06
Mg (0.3391, 0.6782, 0.2674)  4 Pb 2.93-3.20
Mg (0.1545, 0.3089, 0.6274)  4 Pb 2.94-3.08, 1 Mg 3.27
Mg (0.3513, 0.7026, 0.9885)  4 Pb 2.93-3.06
Mg (0.3024, 0.6048, 0.6174)  4 Pb 3.01-3.13, 2 Mg 3.22-3.27
Mg (0.8455, 0.6911, 0.1274)  4 Pb 2.94-3.08, 1 Mg 3.27
Mg (0.6609, 0.3218, 0.7674)  4 Pb 2.93-3.20
Mg (0.5602, 0.1204, 0.1789)  4 Pb 2.94-3.13, 1 Mg 3.22
Sr (0.8362, 0.6724, 0.8017)  6 Pb 3.39-3.54
Sr (0.9642, 0.9285, 0.2672)  6 Pb 3.50-3.65, 5 Mg 3.59-3.71
Sr (0.9771, 0.9542, 0.0020)  7 Pb 3.54-3.63, 3 Mg 3.65-3.73
Sr (0.8192, 0.6384, 0.4431)  6 Pb 3.35-3.46
Sr (0.1638, 0.3276, 0.3017)  6 Pb 3.39-3.54
Sr (0.0358, 0.0715, 0.7672)  6 Pb 3.50-3.65, 5 Mg 3.59-3.71
Sr (0.1808, 0.3616, 0.9431)  6 Pb 3.35-3.46
Sr (0.0229, 0.0458, 0.5020)  7 Pb 3.54-3.63, 3 Mg 3.65-3.73


Which formula does entry 2 have?
Pr3Sm6Mg